Compound: Sr2CaCu
Source: the Alexandria database
Functional: PBEsol
Structure: relaxed

Structure (POSCAR):
```
Sr2CaCu
1.0
2.6602 -2.6661 0.0000
2.6602 2.6661 0.0000
0.0000 0.0000 9.8107
Sr Ca Cu
2 1 1
direct
0.0000 0.0000 0.0000
0.5000 0.5000 0.3379
0.5000 0.5000 0.6879
0.0000 0.0000 0.5280
```

Output
* distance to the lowest polymorph of the same formula: 0.00 eV per formula unit


Compound: MgZn2Co
Source: the Alexandria database
Functional: PBEsol
Structure: relaxed

Structure (POSCAR):
```
MgZn2Co
1.0
3.7838 0.0000 0.0000
0.0000 3.7838 0.0000
0.0000 0.0000 3.7364
Mg Zn Co
1 2 1
direct
0.0000 0.0000 0.0000
0.0000 0.5000 0.5000
0.5000 0.0000 0.5000
0.5000 0.5000 0.0000
```


Compound: Fe2AgIr
Source: the Alexandria database
Functional: PBEsol
Structure: relaxed

Structure (POSCAR):
```
Fe2AgIr
1.0
4.3628 -1.3475 0.0000
4.3628 1.3475 0.0000
-0.8457 0.0000 4.6052
Fe Ag Ir
2 1 1
direct
0.2452 0.2452 0.2350
0.7548 0.7548 0.7650
0.0000 0.0000 0.5000
0.5000 0.5000 0.0000
```


no.,energy of formation (meV/atom)
1,45
2,1
3,342